(1)
ZrB4Pd: optimized geometry, PBE-GGA.

Energy above the lowest structure with this stoichiometry in meV per atom: 0
Space group: P6/mmm, No. 191

The structure in POSCAR format:
```
ZrB4Pd
1.0
3.1661 0.0000 0.0000
-1.5831 2.7419 0.0000
0.0000 0.0000 6.7495
Zr B Pd
1 4 1
Direct
0.0000 0.0000 0.0000 Zr
0.3333 0.6667 0.2527 B
0.3333 0.6667 0.7473 B
0.6667 0.3333 0.2527 B
0.6667 0.3333 0.7473 B
0.0000 0.0000 0.5000 Pd
```

***

(2)
KZrAuSe3: optimized geometry, PBE-GGA.

Electronic total energy in eV/atom: -4.81
Space group: C2/m, No. 12

The structure in POSCAR format:
```
KZrAuSe3
1.0
9.0334 -1.9323 0.0000
9.0334 1.9323 0.0000
-0.8888 0.0000 8.8514
K Zr Au Se
2 2 2 6
Direct
0.1333 0.1333 0.0886 K
0.8667 0.8667 0.9114 K
0.1570 0.1570 0.5885 Zr
0.8430 0.8430 0.4115 Zr
0.4554 0.4554 0.2742 Au
0.5446 0.5446 0.7258 Au
0.0000 0.0000 0.5000 Se
0.3136 0.3136 0.1988 Se
0.3178 0.3178 0.6146 Se
0.5000 0.5000 0.0000 Se
0.6822 0.6822 0.3854 Se
0.6864 0.6864 0.8012 Se
```

***

(3)
Hf2ScCu4Si4: optimized geometry, PBE-GGA.

Electronic total energy in eV/atom: -6.25
Space group: Immm, No. 71

The structure in POSCAR format:
```
Hf2ScCu4Si4
1.0
-1.9599 3.1962 6.5063
1.9599 -3.1962 6.5063
1.9599 3.1962 -6.5063
Hf Sc Cu Si
2 1 4 4
Direct
0.1236 0.1236 0.0000 Hf
0.8764 0.8764 0.0000 Hf
0.5000 0.0000 0.5000 Sc
0.1354 0.3294 0.8060 Cu
0.4767 0.6706 0.8060 Cu
0.5233 0.3294 0.1940 Cu
0.8646 0.6706 0.1940 Cu
0.1892 0.5000 0.6892 Si
0.2837 0.7837 0.5000 Si
0.7163 0.2163 0.5000 Si
0.8108 0.5000 0.3108 Si
```

***

no.,density (g cm⁻³),total magnetization (μB per cell)
1,6.83,0.01
2,6.06,0.00
3,7.83,0.00